No. 1
PBE GaAuNF2, optimized geometry; calculated total energy = -4.185 eV/atom; uncorrected formation energy = -49.2 kJ/mol of atoms
1.0
3.803 0.000 0.000
0.000 3.803 0.000
0.000 0.000 4.246
Ga Au N F
1 1 1 2
Cartesian
0.000 0.000 0.000
1.902 1.902 2.123
0.000 0.000 2.123
0.000 1.902 0.000
1.902 0.000 0.000

---

No. 2
PBE GaAuNF2, optimized geometry; calculated total energy = -3.736 eV/atom; uncorrected formation energy = -5.9 kJ/mol of atoms
1.0
4.778 0.000 0.000
0.000 4.778 0.000
0.000 0.000 3.757
Ga Au N F
1 1 1 2
Cartesian
0.000 0.000 0.000
2.389 2.389 1.878
2.389 2.389 0.000
0.000 2.389 1.878
2.389 0.000 1.878